Material: VInAs2Br
Method: DFT, PBE
State: relaxed

Calculated values
Calculated volume ... 25.27 Å³/atom
Formation energy without anion corrections ... -0.0216 eV/atom
Energy relative to the lowest polymorph listed for this composition ... 0.0 meV/atom
Calculated total energy ... -22.94 eV/cell
N(E_F) ... 0.522 states/eV/atom

a = 4.7352 Å, b = 4.7352 Å, c = 5.6346 Å
α = 90.00°, β = 90.00°, γ = 90.00°
Closest atoms and distances in Å follow each position.
Space group P4/mmm (No. 123)
Inequivalent atoms, fractional coordinates:
1 V 0.0000 0.0000 0.0000 x1  4 As 2.37
2 In 0.5000 0.5000 0.5000 x1  4 Br 3.35, 8 As 3.68
3 As 0.0000 0.5000 0.0000 x2  2 V 2.37
4 Br 0.0000 0.0000 0.5000 x1  2 V 2.82